1.
{
  "formula": "RbInCuSe2",
  "functional": "GGA-PBE",
  "state": "relaxed",
  "lattice": [[3.5519, -7.3242, 0.0000], [3.5519, 7.3242, 0.0000], [0.0000, 0.0000, 5.9726]],
  "species": ["Rb", "Rb", "In", "In", "Cu", "Cu", "Se", "Se", "Se", "Se"],
  "frac_coords": [[0.2500, 0.7500, 0.7518], [0.7500, 0.2500, 0.2482], [0.2500, 0.2500, 0.5000], [0.7500, 0.7500, 0.5000], [0.0000, 0.0000, 0.0000], [0.5000, 0.5000, 0.0000], [0.1188, 0.8812, 0.2480], [0.3812, 0.6188, 0.2480], [0.6188, 0.3812, 0.7520], [0.8812, 0.1188, 0.7520]],
  "crystal_system": "orthorhombic",
  "total_magnetization_mub_per_cell": 0.00,
  "raw_formation_energy_ev_per_atom": -0.50
}


2.
{
  "formula": "KCuGeCl2",
  "functional": "GGA-PBE",
  "state": "relaxed",
  "lattice": [[5.4713, 0.0000, 0.0000], [0.0000, 5.4713, 0.0000], [0.0000, 0.0000, 5.4985]],
  "species": ["K", "Cu", "Ge", "Cl", "Cl"],
  "frac_coords": [[0.0000, 0.0000, 0.0000], [0.0000, 0.0000, 0.5000], [0.5000, 0.5000, 0.5000], [0.0000, 0.5000, 0.0000], [0.5000, 0.0000, 0.0000]],
  "crystal_system": "tetragonal",
  "total_magnetization_mub_per_cell": 0.00,
  "raw_formation_energy_ev_per_atom": 0.36
}


3.
{
  "formula": "CSe2",
  "functional": "GGA-PBE",
  "state": "relaxed",
  "lattice": [[3.0267, 0.0000, 0.0000], [0.0000, 26.7485, 0.0000], [0.0000, 0.0000, 3.0530]],
  "species": ["C", "C", "C", "C", "Se", "Se", "Se", "Se", "Se", "Se", "Se", "Se"],
  "frac_coords": [[0.0000, 0.0792, 0.2500], [0.0000, 0.9208, 0.7500], [0.5000, 0.4208, 0.7500], [0.5000, 0.5792, 0.2500], [0.0000, 0.2189, 0.7500], [0.0000, 0.4218, 0.2500], [0.0000, 0.5782, 0.7500], [0.0000, 0.7811, 0.2500], [0.5000, 0.0782, 0.7500], [0.5000, 0.2811, 0.2500], [0.5000, 0.7189, 0.7500], [0.5000, 0.9218, 0.2500]],
  "crystal_system": "orthorhombic",
  "total_magnetization_mub_per_cell": 1.44,
  "polymorph_energy_ev_per_atom": 1.038,
  "raw_formation_energy_ev_per_atom": 1.60
}


4.
{
  "formula": "KCuSi",
  "functional": "GGA-PBE",
  "state": "relaxed",
  "lattice": [[2.8161, 0.0000, 0.0000], [0.0000, 3.8857, 0.0000], [0.0000, 0.0000, 11.8202]],
  "species": ["K", "K", "Cu", "Cu", "Si", "Si"],
  "frac_coords": [[0.0000, 0.0000, 0.0000], [0.5000, 0.5000, 0.5000], [0.0000, 0.0000, 0.2686], [0.5000, 0.5000, 0.7686], [0.0000, 0.0000, 0.7176], [0.5000, 0.5000, 0.2176]],
  "crystal_system": "orthorhombic",
  "total_magnetization_mub_per_cell": 0.00,
  "polymorph_energy_ev_per_atom": 0.207,
  "raw_formation_energy_ev_per_atom": 0.20
}


5.
{
  "formula": "CsTlHg3",
  "functional": "GGA-PBE",
  "state": "relaxed",
  "lattice": [[5.9717, 0.0000, 0.0000], [0.0000, 5.9717, 0.0000], [0.0000, 0.0000, 5.9717]],
  "species": ["Cs", "Tl", "Hg", "Hg", "Hg"],
  "frac_coords": [[0.0000, 0.0000, 0.0000], [0.5000, 0.5000, 0.5000], [0.0000, 0.5000, 0.5000], [0.5000, 0.0000, 0.5000], [0.5000, 0.5000, 0.0000]],
  "crystal_system": "cubic",
  "total_magnetization_mub_per_cell": 0.00,
  "polymorph_energy_ev_per_atom": 0.062
}


6.
{
  "formula": "LiNbGa2B",
  "functional": "GGA-PBE",
  "state": "relaxed",
  "lattice": [[4.0087, 0.0000, 0.0000], [0.0000, 4.0087, 0.0000], [0.0000, 0.0000, 4.6953]],
  "species": ["Li", "Nb", "Ga", "Ga", "B"],
  "frac_coords": [[0.0000, 0.0000, 0.0000], [0.0000, 0.0000, 0.5000], [0.0000, 0.5000, 0.0000], [0.5000, 0.0000, 0.0000], [0.5000, 0.5000, 0.5000]],
  "crystal_system": "tetragonal",
  "total_magnetization_mub_per_cell": 0.00,
  "polymorph_energy_ev_per_atom": 0.518
}